Computed, not measured: Al7Zn4Ag after structural relaxation at the PBE level of DFT.

```
12
Lattice="2.9023 0.0000 0.0000 -1.4512 2.5135 0.0000 0.0000 0.0000 26.6762" Properties=species:S:1:pos:R:3 pbc="T T T"
Al 0.0000 0.0000 19.9586
Al 1.4512 0.8378 15.5814
Al 0.0000 0.0000 6.7175
Al 0.0000 0.0000 0.0000
Al 0.0000 1.6757 11.0947
Al 1.4512 0.8378 22.2719
Al 0.0000 1.6757 4.4043
Zn 1.4512 0.8378 2.1934
Zn 0.0000 1.6757 17.7506
Zn 0.0000 1.6757 24.4827
Zn 1.4512 0.8378 8.9255
Ag 0.0000 0.0000 13.3381
```

Results
Total moment: 0.00 μB/f.u.
Energy relative to the elements: 0.1 eV per formula unit